No. 1
Cu2NiPt | PBE | optimized geometry

a = 4.495 Å, b = 4.495 Å, c = 4.495 Å
α = 130.85°, β = 130.85°, γ = 72.06°
Positions (direct):
Cu  0.000  0.000  0.000
Cu  0.750  0.250  0.500
Ni  0.250  0.750  0.500
Pt  0.500  0.500  0.000

Results
**VASP energy**: -5.080 eV per atom
**N(E_F)**: 4.98 states/eV/f.u.
**M_tot**: 0.42 μB per formula unit

***

No. 2
Cu2NiPt | PBE | optimized geometry

a = 4.169 Å, b = 4.169 Å, c = 4.169 Å
α = 60.00°, β = 60.00°, γ = 60.00°
Positions (direct):
Cu  0.000  0.000  0.000
Cu  0.250  0.250  0.250
Ni  0.500  0.500  0.500
Pt  0.750  0.750  0.750

Results
**VASP energy**: -5.020 eV per atom
**N(E_F)**: 5.49 states/eV/f.u.
**M_tot**: 0.55 μB per formula unit

***

No. 3
CuNi5Pt2 | PBE | optimized geometry

a = 7.489 Å, b = 7.489 Å, c = 7.489 Å
α = 150.94°, β = 150.94°, γ = 41.56°
Positions (direct):
Cu  0.000  0.000  0.000
Ni  0.117  0.617  0.500
Ni  0.383  0.883  0.500
Ni  0.500  0.500  0.000
Ni  0.617  0.117  0.500
Ni  0.883  0.383  0.500
Pt  0.250  0.250  0.000
Pt  0.750  0.750  0.000

Results
**VASP energy**: -5.641 eV per atom
**N(E_F)**: 13.34 states/eV/f.u.
**M_tot**: 3.52 μB per formula unit

***

No. 4
CuNi2Pt | PBE | optimized geometry

a = 2.600 Å, b = 2.600 Å, c = 8.629 Å
α = 90.00°, β = 90.00°, γ = 118.15°
Positions (direct):
Cu  0.000  0.000  0.000
Ni  0.000  0.000  0.470
Ni  0.500  0.500  0.239
Pt  0.500  0.500  0.733

Results
**VASP energy**: -5.347 eV per atom
**N(E_F)**: 4.42 states/eV/f.u.
**M_tot**: 1.32 μB per formula unit

***

No. 5
CuNi5Pt4 | PBE | optimized geometry

a = 7.004 Å, b = 7.004 Å, c = 5.281 Å
α = 102.89°, β = 102.89°, γ = 31.27°
Positions (direct):
Cu  0.000  0.000  0.000
Ni  0.000  0.000  0.500
Ni  0.198  0.198  0.602
Ni  0.402  0.402  0.200
Ni  0.598  0.598  0.800
Ni  0.802  0.802  0.398
Pt  0.200  0.200  0.104
Pt  0.403  0.403  0.686
Pt  0.597  0.597  0.314
Pt  0.800  0.800  0.896

Results
**VASP energy**: -5.797 eV per atom
**Energy above the most stable polymorph in this dataset**: 0.00 eV/f.u.
**N(E_F)**: 15.48 states/eV/f.u.
**M_tot**: 4.87 μB per formula unit

***

No. 6
CuNi4Pt | PBE | optimized geometry

a = 6.328 Å, b = 6.328 Å, c = 6.806 Å
α = 90.00°, β = 90.00°, γ = 142.57°
Positions (direct):
Cu  0.134  0.866  0.750
Cu  0.866  0.134  0.250
Ni  0.056  0.944  0.250
Ni  0.263  0.737  0.084
Ni  0.263  0.737  0.416
Ni  0.500  0.500  0.000
Ni  0.500  0.500  0.500
Ni  0.737  0.263  0.584
Ni  0.737  0.263  0.916
Ni  0.944  0.056  0.750
Pt  0.341  0.659  0.750
Pt  0.659  0.341  0.250

Results
**VASP energy**: -5.163 eV per atom
**Energy above the most stable polymorph in this dataset**: 2.44 eV/f.u.
**N(E_F)**: 9.46 states/eV/f.u.
**M_tot**: 3.08 μB per formula unit